Pm6Ni2AuI3, relaxed, DFT PBE; space group = C2/m; theoretical density = 7101 kg/m³; uncorrected energy = -4.724 eV/atom
1.0
3.639 -6.297 0.000
3.639 6.297 0.000
-2.430 0.000 7.986
Pm Ni Au I
6 2 1 3
direct
0.083 0.438 0.813
0.207 0.207 0.186
0.438 0.083 0.813
0.562 0.917 0.187
0.793 0.793 0.814
0.917 0.562 0.187
0.167 0.833 0.000
0.833 0.167 0.000
0.500 0.500 0.000
0.000 0.000 0.500
0.336 0.664 0.500
0.664 0.336 0.500

Rb2NiAuI6, relaxed, DFT PBE; space group = I4/mmm; theoretical density = 5160 kg/m³; uncorrected energy = -2.628 eV/atom
1.0
-4.071 4.071 5.768
4.071 -4.071 5.768
4.071 4.071 -5.768
Rb Ni Au I
2 1 1 6
direct
0.250 0.750 0.500
0.750 0.250 0.500
0.000 0.000 0.000
0.500 0.500 0.000
0.226 0.226 0.453
0.226 0.774 0.000
0.266 0.266 0.000
0.734 0.734 0.000
0.774 0.226 0.000
0.774 0.774 0.547

NiSbAuI2, relaxed, DFT PBE; ΔE to the lowest computed polymorph = 491.9 meV/atom; space group = P4/mmm; theoretical density = 6071 kg/m³
1.0
5.636 0.000 0.000
0.000 5.636 0.000
0.000 0.000 5.434
Ni Sb Au I
1 1 1 2
direct
0.000 0.000 0.000
0.500 0.500 0.000
0.500 0.500 0.500
0.000 0.500 0.500
0.500 0.000 0.500

NiSbAuI2, relaxed, DFT PBE; ΔE to the lowest computed polymorph = 0.0 meV/atom; space group = P4/mmm; theoretical density = 7476 kg/m³
1.0
5.365 0.000 0.000
0.000 5.365 0.000
0.000 0.000 4.871
Ni Sb Au I
1 1 1 2
direct
0.000 0.000 0.000
0.000 0.000 0.500
0.500 0.500 0.500
0.000 0.500 0.000
0.500 0.000 0.000

TcNiAuI2, relaxed, DFT PBE; space group = P4/mmm; theoretical density = 6127 kg/m³; uncorrected energy = -2.947 eV/atom
1.0
5.597 0.000 0.000
0.000 5.597 0.000
0.000 0.000 5.257
Tc Ni Au I
1 1 1 2
direct
0.000 0.000 0.000
0.500 0.500 0.000
0.000 0.000 0.500
0.000 0.500 0.500
0.500 0.000 0.500

NiTeAuI2, relaxed, DFT PBE; ΔE to the lowest computed polymorph = 0.0 meV/atom; space group = P4/mmm; theoretical density = 7485 kg/m³
1.0
5.321 0.000 0.000
0.000 5.321 0.000
0.000 0.000 4.992
Ni Te Au I
1 1 1 2
direct
0.000 0.000 0.000
0.000 0.000 0.500
0.500 0.500 0.500
0.000 0.500 0.000
0.500 0.000 0.000

NiTeAuI2, relaxed, DFT PBE; ΔE to the lowest computed polymorph = 373.1 meV/atom; space group = P4/mmm; theoretical density = 6244 kg/m³
1.0
5.516 0.000 0.000
0.000 5.516 0.000
0.000 0.000 5.568
Ni Te Au I
1 1 1 2
direct
0.000 0.000 0.000
0.500 0.500 0.000
0.500 0.500 0.500
0.000 0.500 0.500
0.500 0.000 0.500

NiW2AuI, relaxed, DFT PBE; space group = P4/mmm; theoretical density = 11577 kg/m³; uncorrected energy = -5.018 eV/atom
1.0
4.912 0.000 0.000
0.000 4.912 0.000
0.000 0.000 4.460
Ni W Au I
1 2 1 1
direct
0.000 0.000 0.000
0.000 0.500 0.500
0.500 0.000 0.500
0.500 0.500 0.000
0.000 0.000 0.500

YNiAu2I, relaxed, DFT PBE; space group = P4/mmm; theoretical density = 7202 kg/m³; uncorrected energy = -3.053 eV/atom
1.0
5.216 0.000 0.000
0.000 5.216 0.000
0.000 0.000 5.664
Y Ni Au I
1 1 2 1
direct
0.000 0.000 0.000
0.500 0.500 0.000
0.000 0.500 0.500
0.500 0.000 0.500
0.000 0.000 0.500

NpAuI, relaxed, DFT PBE; space group = C2/m; theoretical density = 11185 kg/m³; uncorrected energy = -6.051 eV/atom
1.0
5.552 -1.777 0.000
5.552 1.777 0.000
-2.571 0.000 8.440
Np Au I
2 2 2
direct
0.173 0.173 0.468
0.827 0.827 0.532
0.438 0.438 0.319
0.562 0.562 0.681
0.328 0.328 0.829
0.672 0.672 0.171

NpAu2I6, relaxed, DFT PBE; space group = C2/c; theoretical density = 5160 kg/m³; uncorrected energy = -3.639 eV/atom
1.0
7.548 -7.898 0.000
7.548 7.898 0.000
-1.020 0.000 7.516
Np Au I
2 4 12
direct
0.078 0.922 0.750
0.922 0.078 0.250
0.397 0.399 0.711
0.399 0.397 0.211
0.601 0.603 0.789
0.603 0.601 0.289
0.050 0.178 0.611
0.081 0.676 0.856
0.178 0.050 0.111
0.274 0.499 0.456
0.324 0.919 0.644
0.499 0.274 0.956
0.501 0.726 0.044
0.676 0.081 0.356
0.726 0.501 0.544
0.822 0.950 0.889
0.919 0.324 0.144
0.950 0.822 0.389

NpAuI5, relaxed, DFT PBE; space group = P-1; theoretical density = 5264 kg/m³; uncorrected energy = -3.963 eV/atom
1.0
8.222 0.000 0.000
0.552 8.205 0.000
4.052 3.782 9.991
Np Au I
2 2 10
direct
0.000 0.000 0.000
0.500 0.500 0.500
0.107 0.393 0.750
0.893 0.607 0.250
0.158 0.080 0.167
0.162 0.683 0.534
0.184 0.663 0.033
0.350 0.152 0.751
0.418 0.339 0.335
0.582 0.661 0.665
0.650 0.848 0.249
0.816 0.337 0.967
0.838 0.317 0.466
0.842 0.920 0.833